Computed, not measured: crystalline SnTeW at its relaxed geometry at the PBE level of DFT.

The structure in POSCAR format:
```
SnTeW
1.0
0.0000 3.3554 3.3554
3.3554 0.0000 3.3554
3.3554 3.3554 0.0000
Sn Te W
1 1 1
direct
0.2500 0.2500 0.2500
0.0000 0.0000 0.0000
0.7500 0.7500 0.7500
```

Summary:
Size of the total moment ... 0.09 μB per formula unit
E_tot ... -5.338 eV per atom

Computed, not measured: crystalline ZrScIn2 at its relaxed geometry at the PBE level of DFT.

The structure in POSCAR format:
```
ZrScIn2
1.0
-0.7053 3.5565 -3.7546
-3.6967 -4.1448 -3.2318
-2.4363 4.0815 4.3239
In Sc Zr
4 2 2
direct
0.7500 0.8230 0.1696
0.7500 0.3301 0.1713
0.2500 0.1713 0.3301
0.2500 0.1696 0.8230
0.2500 0.6825 0.3245
0.7500 0.3245 0.6825
0.7500 0.8156 0.6833
0.2500 0.6833 0.8156
```

Summary:
Size of the total moment ... 0.00 μB per formula unit
E_tot ... -5.317 eV per atom